5
Lattice="5.297 0.000 0.000 0.000 5.297 0.000 0.000 0.000 5.195" Properties=species:S:1:pos:R:3 comment="BaLi2CaNi, optimized geometry, DFT GGA-PBE" e_form_ev_per_fu=0.750 rho_g_cm3=2.85 pbc="T T T"
Ni 0.000 0.000 0.000
Li 2.649 0.000 0.000
Li 0.000 2.649 0.000
Ba 2.649 2.649 2.597
Ca 0.000 0.000 2.597